Entry 1:
VASP calculation (PBEsol) on a relaxed Tl2CrAu crystal.

Lattice parameters (Å, degrees): 3.3814 3.3814 7.0974 90.00 90.00 90.00
With the nearest neighbours (Å) after each atom.
Fractional coordinates of all 4 atoms:
Tl 0.0000 0.0000 0.2473  4 Cr 2.97, 4 Au 2.99
Tl 0.0000 0.0000 0.7527  4 Cr 2.97, 4 Au 2.99
Cr 0.5000 0.5000 0.0000  8 Tl 2.97
Au 0.5000 0.5000 0.5000  8 Tl 2.99

M_tot (μB per atom): 1.016
DFT formation energy (kJ/mol of formula units): 170
Calculated volume (Å³ per atom): 20.29
Symmetry: No. 123

=====

Entry 2:
VASP calculation (PBEsol) on a relaxed Tb3Sc crystal.

Lattice parameters (Å, degrees): 4.8292 4.8292 4.8292 90.00 90.00 90.00
With the nearest neighbours (Å) after each atom.
Fractional coordinates of all 4 atoms:
Tb 0.0000 0.0000 0.5000  4 Sc 3.41, 8 Tb 3.41
Tb 0.0000 0.5000 0.0000  4 Sc 3.41, 8 Tb 3.41
Tb 0.5000 0.0000 0.0000  4 Sc 3.41, 8 Tb 3.41
Sc 0.5000 0.5000 0.5000  12 Tb 3.41

M_tot (μB per atom): 0.000
DFT formation energy (kJ/mol of formula units): 12
Calculated volume (Å³ per atom): 28.16
Symmetry: No. 221

=====

Entry 3:
VASP calculation (PBEsol) on a relaxed LiTcAs2 crystal.

Lattice parameters (Å, degrees): 3.0111 3.0111 6.9604 90.00 90.00 90.00
With the nearest neighbours (Å) after each atom.
Fractional coordinates of all 4 atoms:
Li 0.0000 0.0000 0.0000  8 As 2.90, 4 Li 3.01
Tc 0.0000 0.0000 0.5000  8 As 2.61
As 0.5000 0.5000 0.2832  4 Tc 2.61, 4 Li 2.90
As 0.5000 0.5000 0.7168  4 Tc 2.61, 4 Li 2.90

M_tot (μB per atom): 0.000
DFT formation energy (kJ/mol of formula units): -144
Calculated volume (Å³ per atom): 15.78
Symmetry: No. 123

=====

Entry 4:
VASP calculation (PBEsol) on a relaxed LiMoWO2 crystal.

Lattice parameters (Å, degrees): 3.7877 3.7877 5.2061 90.00 90.00 90.00
With the nearest neighbours (Å) after each atom.
Fractional coordinates of all 5 atoms:
Li 0.0000 0.0000 0.0000  2 W 2.60, 4 Mo 2.68
Mo 0.5000 0.5000 0.0000  4 Li 2.68
W 0.0000 0.0000 0.5000  4 O 1.89
O 0.0000 0.5000 0.5000  2 W 1.89
O 0.5000 0.0000 0.5000  2 W 1.89

M_tot (μB per atom): 0.624
Calculated volume (Å³ per atom): 14.94
Symmetry: No. 123
Formation energy without anion corrections (meV per atom): 109.9

=====

Entry 5:
VASP calculation (PBEsol) on a relaxed Mg2ZrCd crystal.

Lattice parameters (Å, degrees): 4.3119 4.3119 4.4821 90.00 90.00 90.00
With the nearest neighbours (Å) after each atom.
Fractional coordinates of all 4 atoms:
Mg 0.0000 0.5000 0.0000  4 Mg 3.05, 4 Cd 3.11, 4 Zr 3.11
Mg 0.5000 0.0000 0.0000  4 Mg 3.05, 4 Cd 3.11, 4 Zr 3.11
Zr 0.0000 0.0000 0.5000  4 Cd 3.05, 8 Mg 3.11
Cd 0.5000 0.5000 0.5000  4 Zr 3.05, 8 Mg 3.11

M_tot (μB per atom): 0.000
DFT formation energy (kJ/mol of formula units): -27
Calculated volume (Å³ per atom): 20.83
Symmetry: No. 123

=====

Entry 6:
VASP calculation (PBEsol) on a relaxed KTiH2S2O9 crystal.

Lattice parameters (Å, degrees): 7.5332 5.2841 9.1158 90.00 101.28 90.00
With the nearest neighbours (Å) after each atom.
Fractional coordinates of all 30 atoms:
K 0.0714 0.2500 0.2174  6 O 2.72-2.79
K 0.9286 0.7500 0.7826  6 O 2.72-2.79
Ti 0.4151 0.7500 0.7654  6 O 2.01-2.05
Ti 0.5849 0.2500 0.2346  6 O 2.01-2.05
H 0.3072 0.7500 0.4673  1 O 0.98
H 0.4674 0.2500 0.4984  1 O 1.01
H 0.5326 0.7500 0.5016  1 O 1.01
H 0.6928 0.2500 0.5327  1 O 0.98
S 0.1647 0.2500 0.6412  4 O 1.45-1.52
S 0.3315 0.7500 0.1124  4 O 1.45-1.50
S 0.6685 0.2500 0.8876  4 O 1.45-1.50
S 0.8353 0.7500 0.3588  4 O 1.45-1.52
O 0.0317 0.7500 0.3968  1 S 1.45
O 0.1366 0.7500 0.0618  1 S 1.45
O 0.2255 0.0215 0.7388  1 S 1.52
O 0.2255 0.4785 0.7388  1 S 1.52
O 0.2529 0.2500 0.5113  1 S 1.47, 1 H 1.64
O 0.3868 0.5215 0.2090  1 S 1.50
O 0.3868 0.9785 0.2090  1 S 1.50
O 0.4186 0.7500 0.5446  2 H 0.98-1.01
O 0.4346 0.7500 0.9896  1 S 1.48
O 0.5654 0.2500 0.0104  1 S 1.48
O 0.5814 0.2500 0.4554  2 H 0.98-1.01
O 0.6132 0.0215 0.7910  1 S 1.50
O 0.6132 0.4785 0.7910  1 S 1.50
O 0.7471 0.7500 0.4887  1 S 1.47, 1 H 1.64
O 0.7745 0.5215 0.2612  1 S 1.52
O 0.7745 0.9785 0.2612  1 S 1.52
O 0.8634 0.2500 0.9382  1 S 1.45
O 0.9683 0.2500 0.6032  1 S 1.45

Electronic total energy (eV per atom): -6.52
M_tot (μB per atom): 0.067
Calculated volume (Å³ per atom): 11.86
Symmetry: No. 11